No. 1
# CaOs4Pb2 (PBE, optimized geometry)
data_CaOs4Pb2
_chemical_formula_sum 'Ca2 Os8 Pb4'
_cell_length_a 4.758
_cell_length_b 4.758
_cell_length_c 13.993
_cell_angle_alpha 90.00
_cell_angle_beta 90.00
_cell_angle_gamma 90.00
_symmetry_space_group_name_H-M 'I 4/m m m'
_symmetry_Int_Tables_number 139
_symmetry_space_group_name_Hall '-I 4 2'
loop_
_atom_site_label
_atom_site_type_symbol
_atom_site_fract_x
_atom_site_fract_y
_atom_site_fract_z
Ca1 Ca 0.000 0.000 0.000
Os1 Os 0.000 0.000 0.187
Os2 Os 0.000 0.500 0.000
Pb1 Pb 0.000 0.000 0.375
# Calculated formation energy in kcal/mol of atoms: 57.31

=====

No. 2
# CaOsPb2 (PBE, optimized geometry)
data_CaOsPb2
_chemical_formula_sum 'Ca3 Os3 Pb6'
_cell_length_a 3.3937
_cell_length_b 3.3937
_cell_length_c 30.8577
_cell_angle_alpha 90.00
_cell_angle_beta 90.00
_cell_angle_gamma 120.00
_symmetry_space_group_name_H-M 'R 3 m'
_symmetry_Int_Tables_number 160
_symmetry_space_group_name_Hall 'R 3 -2"'
loop_
_atom_site_label
_atom_site_type_symbol
_atom_site_fract_x
_atom_site_fract_y
_atom_site_fract_z
Ca1 Ca 0.0000 0.0000 0.0000
Os1 Os 0.0000 0.0000 0.2638
Pb1 Pb 0.0000 0.0000 0.5305
Pb2 Pb 0.0000 0.0000 0.7626
# Calculated formation energy in kcal/mol of atoms: 11.51

=====

No. 3
# CaOs3Pb (PBE, optimized geometry)
data_CaOs3Pb
_chemical_formula_sum 'Ca1 Os3 Pb1'
_cell_length_a 4.800
_cell_length_b 4.800
_cell_length_c 4.800
_cell_angle_alpha 90.00
_cell_angle_beta 90.00
_cell_angle_gamma 90.00
_symmetry_space_group_name_H-M 'P m -3 m'
_symmetry_Int_Tables_number 221
_symmetry_space_group_name_Hall '-P 4 2 3'
loop_
_atom_site_label
_atom_site_type_symbol
_atom_site_fract_x
_atom_site_fract_y
_atom_site_fract_z
Ca1 Ca 0.000 0.000 0.000
Os1 Os 0.000 0.000 0.500
Pb1 Pb 0.500 0.500 0.500
# Calculated formation energy in kcal/mol of atoms: 66.89
# E above lowest polymorph in eV/atom: 0.553

=====

No. 4
# CaOsPb2 (PBE, optimized geometry)
data_CaOsPb2
_chemical_formula_sum 'Ca1 Os1 Pb2'
_cell_length_a 3.539
_cell_length_b 3.539
_cell_length_c 7.930
_cell_angle_alpha 90.00
_cell_angle_beta 90.00
_cell_angle_gamma 90.00
_symmetry_space_group_name_H-M 'P 4 m m'
_symmetry_Int_Tables_number 99
loop_
_symmetry_equiv_pos_as_xyz
'x,y,z'
'-y,x,z'
'-x,-y,z'
'y,-x,z'
'-x,y,z'
'y,x,z'
'x,-y,z'
'-y,-x,z'
loop_
_atom_site_label
_atom_site_type_symbol
_atom_site_fract_x
_atom_site_fract_y
_atom_site_fract_z
Ca1 Ca 0.000 0.000 0.000
Os1 Os 0.500 0.500 0.232
Pb1 Pb 0.000 0.000 0.402
Pb2 Pb 0.500 0.500 0.694
# Calculated formation energy in kcal/mol of atoms: 8.26

=====

No. 5
# CaOs2Pb (PBE, optimized geometry)
data_CaOs2Pb
_chemical_formula_sum 'Ca2 Os4 Pb2'
_cell_length_a 3.244
_cell_length_b 4.934
_cell_length_c 9.693
_cell_angle_alpha 90.00
_cell_angle_beta 90.00
_cell_angle_gamma 90.00
_symmetry_space_group_name_H-M 'C m m m'
_symmetry_Int_Tables_number 65
_symmetry_space_group_name_Hall '-C 2 2'
loop_
_atom_site_label
_atom_site_type_symbol
_atom_site_fract_x
_atom_site_fract_y
_atom_site_fract_z
Ca1 Ca 0.000 0.000 0.000
Os1 Os 0.000 0.500 0.247
Pb1 Pb 0.000 0.000 0.500
# Calculated formation energy in kcal/mol of atoms: 24.52

=====

No. 6
# CaOsPb2 (PBE, optimized geometry)
data_CaOsPb2
_chemical_formula_sum 'Ca4 Os4 Pb8'
_cell_length_a 7.279
_cell_length_b 7.279
_cell_length_c 7.279
_cell_angle_alpha 90.00
_cell_angle_beta 90.00
_cell_angle_gamma 90.00
_symmetry_space_group_name_H-M 'F -4 3 m'
_symmetry_Int_Tables_number 216
_symmetry_space_group_name_Hall 'F -4 2 3'
loop_
_atom_site_label
_atom_site_type_symbol
_atom_site_fract_x
_atom_site_fract_y
_atom_site_fract_z
Ca1 Ca 0.000 0.000 0.000
Os1 Os 0.250 0.250 0.750
Pb1 Pb 0.000 0.000 0.500
Pb2 Pb 0.250 0.250 0.250
# Calculated formation energy in kcal/mol of atoms: 12.45

=====

No. 7
# CaOsPb2 (PBE, optimized geometry)
data_CaOsPb2
_chemical_formula_sum 'Ca2 Os2 Pb4'
_cell_length_a 3.458
_cell_length_b 5.613
_cell_length_c 10.394
_cell_angle_alpha 90.00
_cell_angle_beta 90.00
_cell_angle_gamma 90.00
_symmetry_space_group_name_H-M 'I m m m'
_symmetry_Int_Tables_number 71
_symmetry_space_group_name_Hall '-I 2 2'
loop_
_atom_site_label
_atom_site_type_symbol
_atom_site_fract_x
_atom_site_fract_y
_atom_site_fract_z
Ca1 Ca 0.000 0.000 0.000
Os1 Os 0.000 0.000 0.500
Pb1 Pb 0.000 0.500 0.210
# Calculated formation energy in kcal/mol of atoms: 6.37

=====

No. 8
# CaOsPb2 (PBE, optimized geometry)
data_CaOsPb2
_chemical_formula_sum 'Ca4 Os4 Pb8'
_cell_length_a 7.075
_cell_length_b 7.075
_cell_length_c 7.075
_cell_angle_alpha 90.00
_cell_angle_beta 90.00
_cell_angle_gamma 90.00
_symmetry_space_group_name_H-M 'F m -3 m'
_symmetry_Int_Tables_number 225
_symmetry_space_group_name_Hall '-F 4 2 3'
loop_
_atom_site_label
_atom_site_type_symbol
_atom_site_fract_x
_atom_site_fract_y
_atom_site_fract_z
Ca1 Ca 0.000 0.000 0.000
Os1 Os 0.000 0.000 0.500
Pb1 Pb 0.250 0.250 0.250
# Calculated formation energy in kcal/mol of atoms: 6.52

=====

No. 9
# CaOsPb4 (PBE, optimized geometry)
data_CaOsPb4
_chemical_formula_sum 'Ca4 Os4 Pb16'
_cell_length_a 8.846
_cell_length_b 8.846
_cell_length_c 8.846
_cell_angle_alpha 90.00
_cell_angle_beta 90.00
_cell_angle_gamma 90.00
_symmetry_space_group_name_H-M 'F -4 3 m'
_symmetry_Int_Tables_number 216
_symmetry_space_group_name_Hall 'F -4 2 3'
loop_
_atom_site_label
_atom_site_type_symbol
_atom_site_fract_x
_atom_site_fract_y
_atom_site_fract_z
Ca1 Ca 0.000 0.000 0.000
Os1 Os 0.250 0.250 0.750
Pb1 Pb 0.124 0.124 0.376
# Calculated formation energy in kcal/mol of atoms: 17.71

=====

No. 10
# CaSi2OsPb (PBE, optimized geometry)
data_CaSi2OsPb
_chemical_formula_sum 'Ca1 Si2 Os1 Pb1'
_cell_length_a 5.196
_cell_length_b 5.196
_cell_length_c 4.892
_cell_angle_alpha 90.00
_cell_angle_beta 90.00
_cell_angle_gamma 90.00
_symmetry_space_group_name_H-M 'P 4/m m m'
_symmetry_Int_Tables_number 123
_symmetry_space_group_name_Hall '-P 4 2'
loop_
_atom_site_label
_atom_site_type_symbol
_atom_site_fract_x
_atom_site_fract_y
_atom_site_fract_z
Ca1 Ca 0.000 0.000 0.000
Si1 Si 0.000 0.500 0.000
Os1 Os 0.000 0.000 0.500
Pb1 Pb 0.500 0.500 0.500
# Formation energy (no corrections) in eV per atom: 1.81

=====

No. 11
# CaTeOsPb2 (PBE, optimized geometry)
data_CaTeOsPb2
_chemical_formula_sum 'Ca1 Te1 Os1 Pb2'
_cell_length_a 5.869
_cell_length_b 5.869
_cell_length_c 5.508
_cell_angle_alpha 90.00
_cell_angle_beta 90.00
_cell_angle_gamma 90.00
_symmetry_space_group_name_H-M 'P 4/m m m'
_symmetry_Int_Tables_number 123
_symmetry_space_group_name_Hall '-P 4 2'
loop_
_atom_site_label
_atom_site_type_symbol
_atom_site_fract_x
_atom_site_fract_y
_atom_site_fract_z
Ca1 Ca 0.000 0.000 0.000
Te1 Te 0.000 0.000 0.500
Os1 Os 0.500 0.500 0.500
Pb1 Pb 0.000 0.500 0.000
# Formation energy (no corrections) in eV per atom: 1.55

=====

No. 12
# CaOsPb2W (PBE, optimized geometry)
data_CaOsPb2W
_chemical_formula_sum 'Ca1 Os1 Pb2 W1'
_cell_length_a 5.423
_cell_length_b 5.423
_cell_length_c 4.667
_cell_angle_alpha 90.00
_cell_angle_beta 90.00
_cell_angle_gamma 90.00
_symmetry_space_group_name_H-M 'P 4/m m m'
_symmetry_Int_Tables_number 123
_symmetry_space_group_name_Hall '-P 4 2'
loop_
_atom_site_label
_atom_site_type_symbol
_atom_site_fract_x
_atom_site_fract_y
_atom_site_fract_z
Ca1 Ca 0.000 0.000 0.000
Os1 Os 0.000 0.000 0.500
Pb1 Pb 0.000 0.500 0.000
W1 W 0.500 0.500 0.500
# Calculated formation energy in kcal/mol of atoms: 59.70

=====

no.,total energy (eV/atom),mass density (Mg/m³)
1,-5.2772,12.74
2,-4.6630,10.43
3,-4.9793,12.28
4,-4.8036,10.78
5,-5.9791,13.44
6,-4.6219,11.10
7,-4.8859,10.61
8,-4.8794,12.09
9,-3.9095,10.16
10,-3.7435,6.21
11,-3.2059,6.76
12,-4.1312,10.03